Entry 1:
# SrCd6Rh2, optimized geometry, DFT GGA-PBE
# Formation energy from the elements   0.02 eV/atom
# Total magnetic moment   0.00 μB per cell
# Calculated density   7.9 g cm⁻³
# Raw total energy   -43.43 eV/cell
data_SrCd6Rh2
_chemical_formula_sum 'Sr2 Cd12 Rh4'
_symmetry_space_group_name_H-M 'I m m m'
_symmetry_Int_Tables_number 71
_symmetry_space_group_name_Hall '-I 2 2'
_cell_length_a 4.971
_cell_length_b 6.251
_cell_length_c 13.110
_cell_angle_alpha 90.00
_cell_angle_beta 90.00
_cell_angle_gamma 90.00
loop_
_atom_site_label
_atom_site_type_symbol
_atom_site_fract_x
_atom_site_fract_y
_atom_site_fract_z
_atom_site_occupancy
Sr1 Sr 0.000 0.000 0.000 1
Cd1 Cd 0.000 0.210 0.500 1
Cd2 Cd 0.000 0.248 0.293 1
Rh1 Rh 0.000 0.500 0.108 1

---

Entry 2:
# Ti2FeNi6, optimized geometry, DFT GGA-PBE
# Formation energy from the elements   -0.19 eV/atom
# Total magnetic moment   7.11 μB per cell
# Calculated density   7.4 g cm⁻³
# Raw total energy   -121.37 eV/cell
data_Ti2FeNi6
_chemical_formula_sum 'Ti4 Fe2 Ni12'
_symmetry_space_group_name_H-M 'C 1 2/m 1'
_symmetry_Int_Tables_number 12
_cell_length_a 8.479
_cell_length_b 4.884
_cell_length_c 5.428
_cell_angle_alpha 90.00
_cell_angle_beta 90.58
_cell_angle_gamma 90.00
loop_
_symmetry_equiv_pos_as_xyz
'x,y,z'
'-x,-y,-z'
'-x,y,-z'
'x,-y,z'
'x+1/2,y+1/2,z'
'-x+1/2,-y+1/2,-z'
'-x+1/2,y+1/2,-z'
'x+1/2,-y+1/2,z'
loop_
_atom_site_label
_atom_site_type_symbol
_atom_site_fract_x
_atom_site_fract_y
_atom_site_fract_z
_atom_site_occupancy
Ti1 Ti 0.167 0.000 0.132 1
Fe1 Fe 0.000 0.500 0.000 1
Ni1 Ni 0.086 0.240 0.678 1
Ni2 Ni 0.174 0.500 0.325 1

---

Entry 3:
# YSiTe2I, optimized geometry, DFT GGA-PBE
# Total magnetic moment   0.00 μB per cell
# Calculated density   5.4 g cm⁻³
# Uncorrected formation energy   -0.102 eV per atom
# Raw total energy   -20.23 eV/cell
data_YSiTe2I
_chemical_formula_sum 'Y1 Si1 Te2 I1'
_symmetry_space_group_name_H-M 'P 4/m m m'
_symmetry_Int_Tables_number 123
_symmetry_space_group_name_Hall '-P 4 2'
_cell_length_a 5.412
_cell_length_b 5.412
_cell_length_c 5.254
_cell_angle_alpha 90.00
_cell_angle_beta 90.00
_cell_angle_gamma 90.00
loop_
_atom_site_label
_atom_site_type_symbol
_atom_site_fract_x
_atom_site_fract_y
_atom_site_fract_z
_atom_site_occupancy
Y1 Y 0.000 0.000 0.000 1
Si1 Si 0.500 0.500 0.500 1
Te1 Te 0.000 0.500 0.500 1
I1 I 0.500 0.500 0.000 1

---

Entry 4:
# Mg2ZnCu, optimized geometry, DFT GGA-PBE
# Formation energy from the elements   -0.08 eV/atom
# Total magnetic moment   0.00 μB per cell
# Calculated density   4.4 g cm⁻³
# Raw total energy   -17.78 eV/cell
data_Mg2ZnCu
_chemical_formula_sum 'Mg4 Zn2 Cu2'
_symmetry_space_group_name_H-M 'I m m 2'
_symmetry_Int_Tables_number 44
_cell_length_a 3.176
_cell_length_b 4.560
_cell_length_c 9.320
_cell_angle_alpha 90.00
_cell_angle_beta 90.00
_cell_angle_gamma 90.00
loop_
_symmetry_equiv_pos_as_xyz
'x,y,z'
'-x,-y,z'
'-x,y,z'
'x,-y,z'
'x+1/2,y+1/2,z+1/2'
'-x+1/2,-y+1/2,z+1/2'
'-x+1/2,y+1/2,z+1/2'
'x+1/2,-y+1/2,z+1/2'
loop_
_atom_site_label
_atom_site_type_symbol
_atom_site_fract_x
_atom_site_fract_y
_atom_site_fract_z
_atom_site_occupancy
Mg1 Mg 0.000 0.000 0.000 1
Mg2 Mg 0.000 0.500 0.216 1
Zn1 Zn 0.000 0.000 0.451 1
Cu1 Cu 0.000 0.500 0.742 1

---

Entry 5:
# Li3Ac2Hg4, optimized geometry, DFT GGA-PBE
# Formation energy from the elements   -0.39 eV/atom
# Total magnetic moment   0.00 μB per cell
# Calculated density   9.3 g cm⁻³
# Raw total energy   -74.62 eV/cell
data_Li3Ac2Hg4
_chemical_formula_sum 'Li12 Ac8 Hg16'
_symmetry_space_group_name_H-M 'C m c e'
_symmetry_Int_Tables_number 64
_symmetry_space_group_name_Hall '-C 2ac 2'
_cell_length_a 6.433
_cell_length_b 16.762
_cell_length_c 8.493
_cell_angle_alpha 90.00
_cell_angle_beta 90.00
_cell_angle_gamma 90.00
loop_
_atom_site_label
_atom_site_type_symbol
_atom_site_fract_x
_atom_site_fract_y
_atom_site_fract_z
_atom_site_occupancy
Li1 Li 0.000 0.000 0.000 1
Li2 Li 0.250 0.216 0.250 1
Ac1 Ac 0.000 0.117 0.583 1
Hg1 Hg 0.000 0.183 0.970 1
Hg2 Hg 0.250 0.049 0.250 1

---

Entry 6:
# BaZn3Pt, optimized geometry, DFT GGA-PBE
# Formation energy from the elements   -0.41 eV/atom
# Total magnetic moment   0.00 μB per cell
# Calculated density   7.8 g cm⁻³
# Raw total energy   -55.38 eV/cell
data_BaZn3Pt
_chemical_formula_sum 'Ba4 Zn12 Pt4'
_symmetry_space_group_name_H-M 'C m c 21'
_symmetry_Int_Tables_number 36
_cell_length_a 4.399
_cell_length_b 12.375
_cell_length_c 8.287
_cell_angle_alpha 90.00
_cell_angle_beta 90.00
_cell_angle_gamma 90.00
loop_
_symmetry_equiv_pos_as_xyz
'x,y,z'
'-x,-y,z+1/2'
'-x,y,z'
'x,-y,z+1/2'
'x+1/2,y+1/2,z'
'-x+1/2,-y+1/2,z+1/2'
'-x+1/2,y+1/2,z'
'x+1/2,-y+1/2,z+1/2'
loop_
_atom_site_label
_atom_site_type_symbol
_atom_site_fract_x
_atom_site_fract_y
_atom_site_fract_z
_atom_site_occupancy
Ba1 Ba 0.000 0.084 0.000 1
Zn1 Zn 0.000 0.212 0.637 1
Zn2 Zn 0.000 0.382 0.855 1
Zn3 Zn 0.000 0.410 0.171 1
Pt1 Pt 0.000 0.231 0.323 1

---

Entry 7:
# TiVMoRu, optimized geometry, DFT GGA-PBE
# Formation energy from the elements   -0.36 eV/atom
# Total magnetic moment   0.00 μB per cell
# Calculated density   8.4 g cm⁻³
# Raw total energy   -154.17 eV/cell
data_TiVMoRu
_chemical_formula_sum 'Ti4 V4 Mo4 Ru4'
_symmetry_space_group_name_H-M 'F -4 3 m'
_symmetry_Int_Tables_number 216
_symmetry_space_group_name_Hall 'F -4 2 3'
_cell_length_a 6.152
_cell_length_b 6.152
_cell_length_c 6.152
_cell_angle_alpha 90.00
_cell_angle_beta 90.00
_cell_angle_gamma 90.00
loop_
_atom_site_label
_atom_site_type_symbol
_atom_site_fract_x
_atom_site_fract_y
_atom_site_fract_z
_atom_site_occupancy
Ti1 Ti 0.000 0.000 0.000 1
V1 V 0.000 0.000 0.500 1
Mo1 Mo 0.250 0.250 0.750 1
Ru1 Ru 0.250 0.250 0.250 1

---

Entry 8:
# Rb2PmZn2Se4, optimized geometry, DFT GGA-PBE
# Total magnetic moment   0.00 μB per cell
# Calculated density   4.7 g cm⁻³
# Uncorrected formation energy   -1.093 eV per atom
# Raw total energy   -66.02 eV/cell
data_Rb2PmZn2Se4
_chemical_formula_sum 'Rb4 Pm2 Zn4 Se8'
_symmetry_space_group_name_H-M 'C 1 2/m 1'
_symmetry_Int_Tables_number 12
_cell_length_a 16.049
_cell_length_b 4.351
_cell_length_c 8.189
_cell_angle_alpha 90.00
_cell_angle_beta 109.95
_cell_angle_gamma 90.00
loop_
_symmetry_equiv_pos_as_xyz
'x,y,z'
'-x,-y,-z'
'-x,y,-z'
'x,-y,z'
'x+1/2,y+1/2,z'
'-x+1/2,-y+1/2,-z'
'-x+1/2,y+1/2,-z'
'x+1/2,-y+1/2,z'
loop_
_atom_site_label
_atom_site_type_symbol
_atom_site_fract_x
_atom_site_fract_y
_atom_site_fract_z
_atom_site_occupancy
Rb1 Rb 0.131 0.000 0.057 1
Pm1 Pm 0.000 0.000 0.500 1
Zn1 Zn 0.177 0.500 0.490 1
Se1 Se 0.024 0.500 0.270 1
Se2 Se 0.200 0.000 0.667 1

---

Entry 9:
# YSiSe2N, optimized geometry, DFT GGA-PBE
# Total magnetic moment   1.99 μB per cell
# Calculated density   3.6 g cm⁻³
# Uncorrected formation energy   0.408 eV per atom
# Raw total energy   -25.14 eV/cell
data_YSiSe2N
_chemical_formula_sum 'Y1 Si1 Se2 N1'
_symmetry_space_group_name_H-M 'P 4/m m m'
_symmetry_Int_Tables_number 123
_symmetry_space_group_name_Hall '-P 4 2'
_cell_length_a 5.507
_cell_length_b 5.507
_cell_length_c 4.352
_cell_angle_alpha 90.00
_cell_angle_beta 90.00
_cell_angle_gamma 90.00
loop_
_atom_site_label
_atom_site_type_symbol
_atom_site_fract_x
_atom_site_fract_y
_atom_site_fract_z
_atom_site_occupancy
Y1 Y 0.000 0.000 0.000 1
Si1 Si 0.500 0.500 0.500 1
Se1 Se 0.000 0.500 0.000 1
N1 N 0.000 0.000 0.500 1

---

Entry 10:
# Ca2Tl8Pd, optimized geometry, DFT GGA-PBE
# Formation energy from the elements   -0.22 eV/atom
# Total magnetic moment   0.00 μB per cell
# Calculated density   9.9 g cm⁻³
# Raw total energy   -30.50 eV/cell
data_Ca2Tl8Pd
_chemical_formula_sum 'Ca2 Tl8 Pd1'
_symmetry_space_group_name_H-M 'P 4/m m m'
_symmetry_Int_Tables_number 123
_symmetry_space_group_name_Hall '-P 4 2'
_cell_length_a 4.922
_cell_length_b 4.922
_cell_length_c 12.565
_cell_angle_alpha 90.00
_cell_angle_beta 90.00
_cell_angle_gamma 90.00
loop_
_atom_site_label
_atom_site_type_symbol
_atom_site_fract_x
_atom_site_fract_y
_atom_site_fract_z
_atom_site_occupancy
Ca1 Ca 0.000 0.000 0.192 1
Tl1 Tl 0.000 0.500 0.000 1
Tl2 Tl 0.000 0.500 0.375 1
Tl3 Tl 0.500 0.500 0.186 1
Pd1 Pd 0.000 0.000 0.500 1

---

Entry 11:
# PmTm2PuS4, optimized geometry, DFT GGA-PBE
# Total magnetic moment   5.86 μB per cell
# Calculated density   8.3 g cm⁻³
# Uncorrected formation energy   -1.942 eV per atom
# Raw total energy   -60.07 eV/cell
data_PmTm2PuS4
_chemical_formula_sum 'Pm1 Tm2 Pu1 S4'
_symmetry_space_group_name_H-M 'P 1 2/m 1'
_symmetry_Int_Tables_number 10
_cell_length_a 6.777
_cell_length_b 3.894
_cell_length_c 6.829
_cell_angle_alpha 90.00
_cell_angle_beta 109.06
_cell_angle_gamma 90.00
loop_
_symmetry_equiv_pos_as_xyz
'x,y,z'
'-x,-y,-z'
'-x,y,-z'
'x,-y,z'
loop_
_atom_site_label
_atom_site_type_symbol
_atom_site_fract_x
_atom_site_fract_y
_atom_site_fract_z
_atom_site_occupancy
Pm1 Pm 0.000 0.000 0.000 1
Tm1 Tm 0.000 0.500 0.500 1
Tm2 Tm 0.500 0.000 0.500 1
Pu1 Pu 0.500 0.500 0.000 1
S1 S 0.249 0.000 0.738 1
S2 S 0.258 0.500 0.265 1

---

Entry 12:
# Be4SiAg, optimized geometry, DFT GGA-PBE
# Total magnetic moment   0.00 μB per cell
# Calculated density   4.4 g cm⁻³
# Uncorrected formation energy   0.250 eV per atom
# Raw total energy   -86.72 eV/cell
data_Be4SiAg
_chemical_formula_sum 'Be16 Si4 Ag4'
_symmetry_space_group_name_H-M 'F -4 3 m'
_symmetry_Int_Tables_number 216
_symmetry_space_group_name_Hall 'F -4 2 3'
_cell_length_a 6.358
_cell_length_b 6.358
_cell_length_c 6.358
_cell_angle_alpha 90.00
_cell_angle_beta 90.00
_cell_angle_gamma 90.00
loop_
_atom_site_label
_atom_site_type_symbol
_atom_site_fract_x
_atom_site_fract_y
_atom_site_fract_z
_atom_site_occupancy
Be1 Be 0.124 0.124 0.376 1
Si1 Si 0.250 0.250 0.750 1
Ag1 Ag 0.000 0.000 0.000 1